The following is a DFT calculation (GGA-PBE) of an optimized crystal structure of Dy5YMg3.

The structure in extended XYZ format:
```
18
Lattice="-5.862 -3.709 0.310 1.950 -2.343 8.836 -4.971 7.707 -1.803" Properties=species:S:1:pos:R:3 pbc="T T T"
Mg -3.094 -4.346 6.133
Mg -5.766 0.022 7.864
Mg -3.117 1.633 -0.522
Mg -0.818 -1.706 3.013
Mg -5.400 -0.999 2.569
Mg -3.483 2.655 4.774
Y -2.931 -1.854 0.155
Y 0.000 0.000 0.000
Dy -2.664 4.357 1.743
Dy -6.407 0.788 4.912
Dy -3.288 -0.847 5.445
Dy -2.476 0.867 2.430
Dy -3.744 -3.565 3.189
Dy -6.059 -0.203 -0.371
Dy -0.168 -2.486 5.957
Dy -5.595 2.503 1.898
Dy -2.824 1.858 7.714
Dy -0.357 1.007 5.290
```

Calculated values
The symmetry is P6_3/mcm. For the formation energy, the calculation gives 0.006 eV per atom.

=====

The following is a DFT calculation (GGA-PBE) of an optimized crystal structure of FeB2Ir.

The structure in extended XYZ format:
```
4
Lattice="-2.378 -2.189 -1.824 -3.364 1.271 -0.915 -0.816 0.700 -3.552" Properties=species:S:1:pos:R:3 pbc="T T T"
B -4.919 -0.163 -4.719
B -1.640 -0.054 -1.573
Fe 0.000 0.000 0.000
Ir -3.279 -0.109 -3.146
```

Calculated values
The symmetry is Fm-3m. The energy above the most stable polymorph in this dataset comes out at 0 meV/atom. For the formation energy, the calculation gives 0.026 eV per atom.

=====

The following is a DFT calculation (GGA-PBE) of an optimized crystal structure of NiAs2CBr.

The structure in extended XYZ format:
```
5
Lattice="4.265 0.000 0.000 0.000 4.265 0.000 0.000 0.000 4.695" Properties=species:S:1:pos:R:3 pbc="T T T"
As 0.000 2.132 0.000
As 2.132 0.000 0.000
Ni 2.132 2.132 2.347
C 0.000 0.000 0.000
Br 0.000 0.000 2.347
```

Calculated values
The symmetry is P4/mmm. The energy above the most stable polymorph in this dataset comes out at 0 meV/atom. The calculation puts the uncorrected formation energy at 1.382 eV per atom.

=====

The following is a DFT calculation (GGA-PBE) of an optimized crystal structure of Na8B13C3.

The structure in extended XYZ format:
```
24
Lattice="9.051 0.311 -1.434 7.373 5.260 -1.434 -0.001 0.000 5.732" Properties=species:S:1:pos:R:3 pbc="T T T"
B 6.420 1.330 1.432
B 9.675 5.207 0.000
B 9.680 5.209 2.864
B 10.042 4.149 1.430
B 5.865 2.919 1.432
B 10.801 1.892 -0.001
B 6.392 1.414 4.298
B 5.608 3.695 2.942
B 6.747 0.374 2.882
B 6.749 0.374 -0.017
B 5.608 3.695 -0.077
B 10.804 1.893 2.864
B 10.036 4.147 -1.433
Na 12.350 4.186 -0.002
Na 12.332 4.173 2.865
Na 8.195 2.782 2.863
Na 4.102 1.402 0.001
Na 16.408 5.569 -0.001
Na 4.102 1.403 2.864
Na 9.054 0.315 -1.435
Na 8.193 2.782 0.001
C 10.541 2.678 1.431
C 5.879 2.895 4.298
C 10.537 2.676 -1.434
```

Calculated values
The symmetry is P1. The energy above the most stable polymorph in this dataset comes out at 22 meV/atom. For the formation energy, the calculation gives 0.204 eV per atom.

=====

The following is a DFT calculation (GGA-PBE) of an optimized crystal structure of CaZnSb3.

The structure in extended XYZ format:
```
5
Lattice="5.306 0.000 0.000 0.000 5.306 0.000 0.000 0.000 5.306" Properties=species:S:1:pos:R:3 pbc="T T T"
Sb 0.000 0.000 2.653
Sb 0.000 2.653 0.000
Sb 2.653 0.000 0.000
Zn 0.000 0.000 0.000
Ca 2.653 2.653 2.653
```

Calculated values
The symmetry is Pm-3m. The energy above the most stable polymorph in this dataset comes out at 0 meV/atom. The calculation puts the uncorrected formation energy at 0.057 eV per atom.

=====

The following is a DFT calculation (GGA-PBE) of an optimized crystal structure of NaCaErF6.

The structure in extended XYZ format:
```
18
Lattice="-0.348 4.780 -2.085 -3.865 1.166 3.319 7.098 3.575 7.010" Properties=species:S:1:pos:R:3 pbc="T T T"
F 0.246 4.722 0.226
F 2.493 5.868 2.375
F 5.724 5.414 7.345
F 3.538 4.249 5.144
F 4.801 6.994 4.829
F -1.905 2.511 3.531
F 1.086 2.919 2.659
F 0.286 3.601 5.765
F -0.650 5.369 3.167
F 2.733 4.869 8.007
F 1.902 6.559 5.623
F 4.154 7.630 7.805
Na 1.438 4.758 4.118
Na 7.094 3.573 7.006
Ca -0.922 3.570 1.787
Ca 4.734 2.385 4.676
Er 3.811 5.954 6.461
Er 2.368 1.193 2.339
```

Calculated values
The symmetry is P4_2nm. The calculation puts the uncorrected formation energy at -3.767 eV per atom.

=====

The following is a DFT calculation (GGA-PBE) of an optimized crystal structure of Rb2BeHgAs2.

The structure in extended XYZ format:
```
12
Lattice="6.376 0.000 0.000 0.000 6.211 0.000 -3.188 -3.106 8.367" Properties=species:S:1:pos:R:3 pbc="T T T"
Rb 1.439 0.000 2.850
Rb 1.749 3.106 5.517
Rb 4.938 3.106 2.850
Rb -1.749 0.000 5.517
As 1.937 3.106 1.427
As 4.439 0.000 1.427
As 1.251 0.000 6.940
As -1.251 3.106 6.940
Hg 0.000 1.553 0.000
Hg 0.000 4.658 0.000
Be 3.188 4.658 0.000
Be 3.188 1.553 0.000
```

Calculated values
The symmetry is Ibam. For the formation energy, the calculation gives -0.223 eV per atom.

=====

The following is a DFT calculation (GGA-PBE) of an optimized crystal structure of KZrN3.

The structure in extended XYZ format:
```
5
Lattice="-1.007 3.316 -2.009 1.993 -1.337 -3.207 -3.325 -1.806 -1.314" Properties=species:S:1:pos:R:3 pbc="T T T"
N -0.503 1.658 -1.004
N 0.997 -0.669 -1.603
N -1.663 -0.903 -0.657
Zr -1.169 0.087 -3.265
K 0.000 0.000 0.000
```

Calculated values
The symmetry is Pm-3m. The calculation puts the uncorrected formation energy at 2.342 eV per atom.

=====

no.,DOS(E_F) (states/eV/cell),spin magnetization (μB per formula unit)
1,20.67,0.00
2,2.26,0.00
3,3.83,0.00
4,6.39,0.00
5,3.69,0.00
6,0.00,0.00
7,1.20,0.00
8,3.12,0.00